First-principles (GGA-PBE) data for a geometry-optimized NaPaRe structure, as listed in OQMD.

a b c (Å): 4.495 4.495 4.495
angles (deg): 60.00 60.00 60.00
Atoms (fractional coordinates):
Na (0.000, 0.000, 0.000)
Pa (0.750, 0.750, 0.750)
Re (0.250, 0.250, 0.250)

Total magnetization: 0.01 μB/f.u.
Space group: F-43m
Electronic total energy: -6.1384 eV per atom